# 1
Below is a geometry-optimized CsAc2PtO5 structure, with properties calculated at the PBE-GGA level.

a b c (Å): 6.047 7.321 7.321
angles (deg): 90.00 90.00 90.00
Site moments in Bohr magnetons follow the coordinates.
Sites, in units of the cell vectors:
Cs 0.000 0.500 0.500  0.00
Cs 0.000 0.000 0.000  0.00
Ac 0.500 0.682 0.182  0.00
Ac 0.500 0.182 0.318  0.00
Ac 0.500 0.818 0.682  0.00
Ac 0.500 0.318 0.818  0.00
Pt 0.000 0.000 0.500  0.48
Pt 0.000 0.500 0.000  0.48
O 0.500 0.500 0.500  0.08
O 0.500 0.000 0.000  0.08
O 0.250 0.128 0.628  0.10
O 0.250 0.872 0.372  0.10
O 0.250 0.372 0.128  0.10
O 0.250 0.628 0.872  0.10
O 0.750 0.128 0.628  0.10
O 0.750 0.628 0.872  0.10
O 0.750 0.872 0.372  0.10
O 0.750 0.372 0.128  0.10

Computed properties:
Raw formation energy   -2232.8 meV/atom
SG   P4/mbm


# 2
Below is a geometry-optimized MoPd4Pt2 structure, with properties calculated at the PBE-GGA level.

a b c (Å): 2.702 4.630 9.273
angles (deg): 104.46 90.00 90.00
Sites, in units of the cell vectors:
Mo 0.000 0.500 0.000
Pd 0.500 0.632 0.264
Pd 0.000 0.924 0.848
Pd 0.500 0.368 0.736
Pd 0.000 0.076 0.152
Pt 0.500 0.215 0.430
Pt 0.500 0.785 0.570

Computed properties:
Energy of formation   0.077 eV per atom
SG   Cmmm


# 3
Below is a geometry-optimized RbCrReS2 structure, with properties calculated at the PBE-GGA level.

a b c (Å): 4.750 4.994 4.750
angles (deg): 90.00 90.00 90.00
Site moments in Bohr magnetons follow the coordinates.
Sites, in units of the cell vectors:
Re 0.000 0.000 0.000  -0.52
S 0.000 0.000 0.500  0.00
S 0.500 0.000 0.000  0.00
Rb 0.500 0.500 0.500  0.03
Cr 0.000 0.500 0.000  3.83

Computed properties:
Raw formation energy   180.3 meV/atom
SG   P4/mmm


# 4
Below is a geometry-optimized In4GaSn2Hg structure, with properties calculated at the PBE-GGA level.

a b c (Å): 8.661 8.661 10.254
angles (deg): 126.30 126.30 88.82
Sites, in units of the cell vectors:
In 0.238 0.739 0.989
In 0.761 0.262 0.511
In 0.239 0.738 0.489
In 0.762 0.261 0.011
In 0.757 0.743 0.998
In 0.757 0.743 0.502
In 0.243 0.257 0.498
In 0.243 0.257 0.002
Ga 0.000 0.500 0.000
Ga 0.000 0.500 0.500
Sn 0.500 0.000 0.000
Sn 0.500 0.000 0.500
Sn 0.000 0.000 0.500
Sn 0.500 0.500 0.000
Hg 0.500 0.500 0.500
Hg 0.000 0.000 0.000

Computed properties:
Energy of formation   0.066 eV per atom
SG   Imma


# 5
Below is a geometry-optimized Al2CBr structure, with properties calculated at the PBE-GGA level.

a b c (Å): 4.425 4.425 4.425
angles (deg): 60.00 60.00 60.00
Sites, in units of the cell vectors:
C 0.000 0.000 0.000
Al 0.250 0.250 0.250
Al 0.750 0.750 0.750
Br 0.500 0.500 0.500

Computed properties:
Raw formation energy   1255.3 meV/atom
SG   Fm-3m


# 6
Below is a geometry-optimized Ho8Pd2Pt structure, with properties calculated at the PBE-GGA level.

a b c (Å): 5.051 6.683 9.073
angles (deg): 103.90 106.16 90.00
Sites, in units of the cell vectors:
Ho 0.410 0.553 0.821
Ho 0.666 0.980 0.331
Ho 0.795 0.672 0.589
Ho 0.967 0.216 0.934
Ho 0.205 0.328 0.411
Ho 0.334 0.020 0.669
Ho 0.590 0.447 0.179
Ho 0.033 0.784 0.066
Pd 0.813 0.267 0.625
Pd 0.187 0.733 0.375
Pt 0.500 0.000 0.000

Computed properties:
Energy of formation   -0.565 eV per atom
SG   C2/m


# 7
Below is a geometry-optimized Tb4Pm3Sm3 structure, with properties calculated at the PBE-GGA level.

a b c (Å): 3.717 9.556 9.556
angles (deg): 89.95 90.00 90.00
Sites, in units of the cell vectors:
Tb 0.000 0.625 0.375
Tb 0.000 0.376 0.624
Tb 0.000 0.875 0.876
Tb 0.000 0.124 0.125
Pm 0.000 0.501 0.000
Pm 0.000 0.000 0.499
Pm 0.500 0.174 0.826
Sm 0.500 0.826 0.174
Sm 0.500 0.326 0.326
Sm 0.500 0.674 0.674

Computed properties:
Energy of formation   0.094 eV per atom
SG   Amm2


# 8
Below is a geometry-optimized BaCr2Cd structure, with properties calculated at the PBE-GGA level.

a b c (Å): 5.555 5.555 5.555
angles (deg): 132.05 116.23 83.58
Site moments in Bohr magnetons follow the coordinates.
Sites, in units of the cell vectors:
Ba 0.488 0.488 0.000  0.02
Cd 0.798 0.298 0.500  -0.02
Cr 0.036 0.036 0.000  -3.66
Cr 0.179 0.679 0.500  3.61

Computed properties:
Energy of formation   0.620 eV per atom
SG   Imm2


# 9
Below is a geometry-optimized Cs2Ga2P3 structure, with properties calculated at the PBE-GGA level.

a b c (Å): 3.900 9.169 8.059
angles (deg): 130.74 104.00 90.00
Sites, in units of the cell vectors:
Cs 0.428 0.221 0.856
Cs 0.572 0.779 0.144
Ga 0.188 0.321 0.376
Ga 0.812 0.679 0.624
P 0.000 0.000 0.000
P 0.197 0.604 0.394
P 0.803 0.396 0.606

Computed properties:
Energy of formation   -0.280 eV per atom
SG   C2/m


# 10
Below is a geometry-optimized CsNa2H3S3O12 structure, with properties calculated at the PBE-GGA level.

a b c (Å): 10.740 10.740 10.740
angles (deg): 90.00 90.00 90.00
Sites, in units of the cell vectors:
Cs 0.049 0.951 0.451
Cs 0.549 0.549 0.549
Cs 0.451 0.049 0.951
Cs 0.951 0.451 0.049
Na 0.825 0.825 0.825
Na 0.175 0.325 0.675
Na 0.325 0.675 0.175
Na 0.675 0.175 0.325
Na 0.396 0.896 0.604
Na 0.896 0.604 0.396
Na 0.604 0.396 0.896
Na 0.104 0.104 0.104
H 0.145 0.845 0.008
H 0.992 0.645 0.655
H 0.345 0.492 0.855
H 0.645 0.655 0.992
H 0.492 0.855 0.345
H 0.845 0.008 0.145
H 0.855 0.345 0.492
H 0.008 0.145 0.845
H 0.655 0.992 0.645
H 0.355 0.155 0.508
H 0.508 0.355 0.155
H 0.155 0.508 0.355
S 0.988 0.791 0.122
S 0.878 0.488 0.709
S 0.291 0.378 0.012
S 0.488 0.709 0.878
S 0.378 0.012 0.291
S 0.791 0.122 0.988
S 0.012 0.291 0.378
S 0.122 0.988 0.791
S 0.709 0.878 0.488
S 0.512 0.209 0.622
S 0.622 0.512 0.209
S 0.209 0.622 0.512
O 0.129 0.780 0.075
O 0.925 0.629 0.720
O 0.280 0.425 0.871
O 0.629 0.720 0.925
O 0.425 0.871 0.280
O 0.780 0.075 0.129
O 0.871 0.280 0.425
O 0.075 0.129 0.780
O 0.720 0.925 0.629
O 0.371 0.220 0.575
O 0.575 0.371 0.220
O 0.220 0.575 0.371
O 0.972 0.924 0.160
O 0.840 0.472 0.576
O 0.424 0.340 0.028
O 0.472 0.576 0.840
O 0.340 0.028 0.424
O 0.924 0.160 0.972
O 0.028 0.424 0.340
O 0.160 0.972 0.924
O 0.576 0.840 0.472
O 0.528 0.076 0.660
O 0.660 0.528 0.076
O 0.076 0.660 0.528
O 0.985 0.706 0.228
O 0.772 0.485 0.794
O 0.206 0.272 0.015
O 0.485 0.794 0.772
O 0.272 0.015 0.206
O 0.706 0.228 0.985
O 0.015 0.206 0.272
O 0.228 0.985 0.706
O 0.794 0.772 0.485
O 0.515 0.294 0.728
O 0.728 0.515 0.294
O 0.294 0.728 0.515
O 0.907 0.755 0.019
O 0.981 0.407 0.745
O 0.255 0.481 0.093
O 0.407 0.745 0.981
O 0.481 0.093 0.255
O 0.755 0.019 0.907
O 0.093 0.255 0.481
O 0.019 0.907 0.755
O 0.745 0.981 0.407
O 0.593 0.245 0.519
O 0.519 0.593 0.245
O 0.245 0.519 0.593

Computed properties:
SG   P2_13


# 11
Below is a geometry-optimized Zr2BiH2 structure, with properties calculated at the PBE-GGA level.

a b c (Å): 3.583 3.583 6.470
angles (deg): 73.92 73.92 90.00
Sites, in units of the cell vectors:
H 0.750 0.250 0.500
H 0.250 0.750 0.500
Bi 0.000 0.000 0.000
Zr 0.357 0.357 0.285
Zr 0.643 0.643 0.715

Computed properties:
SG   I4/mmm


# 12
Below is a geometry-optimized BeIrC3 structure, with properties calculated at the PBE-GGA level.

a b c (Å): 3.558 3.558 3.558
angles (deg): 90.00 90.00 90.00
Sites, in units of the cell vectors:
Be 0.000 0.000 0.000
C 0.000 0.500 0.000
C 0.000 0.000 0.500
C 0.500 0.000 0.000
Ir 0.500 0.500 0.500

Computed properties:
Energy of formation   2.430 eV per atom
SG   Pm-3m


What did we get for VASP energy? Answer: -6.67 -6.16 -6.08 -2.72 -3.34 -5.39 -4.60 -4.90 -3.71 -5.61 -5.88 -5.62 eV/atom, in the order shown.